The following is a DFT calculation (PBE) of a relaxed InSiPt5 crystal.

## Properties
Total magnetic moment ... 0.00 μB/f.u.
Formation energy (no corrections) ... -3.84 eV/f.u.

Cell lengths 3.996, 3.996, 7.137 Å; angles 90.00, 90.00, 90.00 degrees
Fractional coordinates of all 7 atoms:
In  0.000  0.000  0.000
Si  0.500  0.500  0.500
Pt  0.000  0.500  0.297
Pt  0.000  0.500  0.703
Pt  0.500  0.000  0.297
Pt  0.500  0.000  0.703
Pt  0.500  0.500  0.000